Compound: LiY3Pb12
Source: Alexandria via LeMat-Bulk
Functional: GGA-PBE
Structure: relaxed

Computed properties:
energy of formation	-0.25	eV/atom

Cell lengths 4.8383, 4.8383, 19.7896 Å; angles 90.00, 90.00, 90.00 degrees
With the nearest neighbours (Å) after each atom.
Space group P4/mmm (No. 123)
Symmetry-distinct sites (fractional):
Li  0.0000  0.0000  0.0000 (multiplicity 1)  12 Pb 3.40-3.42
Y  0.0000  0.0000  0.2531 (multiplicity 2)  12 Pb 3.41-3.56
Y  0.0000  0.0000  0.5000 (multiplicity 1)  12 Pb 3.42-3.47
Pb  0.0000  0.5000  0.1210 (multiplicity 4)  8 Pb 3.40-3.47, 2 Li 3.40, 2 Y 3.56
Pb  0.0000  0.5000  0.3745 (multiplicity 4)  4 Y 3.41-3.47, 8 Pb 3.42-3.50
Pb  0.5000  0.5000  0.0000 (multiplicity 1)  8 Pb 3.40, 4 Li 3.42
Pb  0.5000  0.5000  0.2468 (multiplicity 2)  4 Y 3.42, 8 Pb 3.47-3.50
Pb  0.5000  0.5000  0.5000 (multiplicity 1)  4 Y 3.42, 8 Pb 3.47